Entry 1:
First-principles (PBE) data for an optimized crystal structure of NaTiSCl2, as listed in Alexandria.

Structure (CIF):
```
data_NaTiSCl2
_chemical_formula_sum 'Na1 Ti1 S1 Cl2'
_space_group_name_H-M_alt 'P 1'
_space_group_IT_number 1
_space_group_name_Hall 'P 1'
_cell_length_a 4.771
_cell_length_b 4.771
_cell_length_c 5.186
_cell_angle_alpha 90.00
_cell_angle_beta 90.00
_cell_angle_gamma 90.00
loop_
_atom_site_label
_atom_site_type_symbol
_atom_site_fract_x
_atom_site_fract_y
_atom_site_fract_z
_atom_site_occupancy
Ti1 Ti 0.500 0.500 0.500 1
Cl1 Cl 0.500 0.000 0.000 1
Cl2 Cl 0.000 0.500 0.000 1
S1 S 0.000 0.000 0.500 1
Na1 Na 0.000 0.000 0.000 1
```

## Properties
Electronic total energy ... -3.526 eV per atom
Crystal system ... tetragonal
Energy above the lowest structure with this stoichiometry ... 1.206 eV/atom
SG ... P4/mmm
D(E_F) ... 5.21 states/eV/f.u.



Entry 2:
First-principles (PBE) data for an optimized crystal structure of NaTlSCl2, as listed in Alexandria.

Structure (CIF):
```
data_NaTlSCl2
_chemical_formula_sum 'Na1 Tl1 S1 Cl2'
_space_group_name_H-M_alt 'P 1'
_space_group_IT_number 1
_space_group_name_Hall 'P 1'
_cell_length_a 5.483
_cell_length_b 5.483
_cell_length_c 5.057
_cell_angle_alpha 90.00
_cell_angle_beta 90.00
_cell_angle_gamma 90.00
loop_
_atom_site_label
_atom_site_type_symbol
_atom_site_fract_x
_atom_site_fract_y
_atom_site_fract_z
_atom_site_occupancy
Na1 Na 0.500 0.500 0.500 1
Tl1 Tl 0.000 0.000 0.000 1
Cl1 Cl 0.000 0.500 0.000 1
Cl2 Cl 0.500 0.000 0.000 1
S1 S 0.000 0.000 0.500 1
```

## Properties
Electronic total energy ... -2.907 eV per atom
Crystal system ... tetragonal
Energy above the lowest structure with this stoichiometry ... 0.000 eV/atom
SG ... P4/mmm
D(E_F) ... 4.84 states/eV/f.u.



Entry 3:
First-principles (PBE) data for an optimized crystal structure of NaTlS2Cl, as listed in Alexandria.

Structure (CIF):
```
data_NaTlS2Cl
_chemical_formula_sum 'Na1 Tl1 S2 Cl1'
_space_group_name_H-M_alt 'P 1'
_space_group_IT_number 1
_space_group_name_Hall 'P 1'
_cell_length_a 5.282
_cell_length_b 5.282
_cell_length_c 5.269
_cell_angle_alpha 90.00
_cell_angle_beta 90.00
_cell_angle_gamma 90.00
loop_
_atom_site_label
_atom_site_type_symbol
_atom_site_fract_x
_atom_site_fract_y
_atom_site_fract_z
_atom_site_occupancy
S1 S 0.000 0.500 0.000 1
S2 S 0.500 0.000 0.000 1
Na1 Na 0.000 0.000 0.000 1
Tl1 Tl 0.500 0.500 0.500 1
Cl1 Cl 0.000 0.000 0.500 1
```

## Properties
Electronic total energy ... -2.698 eV per atom
Crystal system ... tetragonal
Energy above the lowest structure with this stoichiometry ... 0.251 eV/atom
SG ... P4/mmm
D(E_F) ... 4.18 states/eV/f.u.



Entry 4:
First-principles (PBE) data for an optimized crystal structure of NaTlSCl2, as listed in Alexandria.

Structure (CIF):
```
data_NaTlSCl2
_chemical_formula_sum 'Na1 Tl1 S1 Cl2'
_space_group_name_H-M_alt 'P 1'
_space_group_IT_number 1
_space_group_name_Hall 'P 1'
_cell_length_a 5.366
_cell_length_b 5.366
_cell_length_c 5.233
_cell_angle_alpha 90.00
_cell_angle_beta 90.00
_cell_angle_gamma 90.00
loop_
_atom_site_label
_atom_site_type_symbol
_atom_site_fract_x
_atom_site_fract_y
_atom_site_fract_z
_atom_site_occupancy
S1 S 0.000 0.000 0.500 1
Na1 Na 0.000 0.000 0.000 1
Cl1 Cl 0.000 0.500 0.000 1
Cl2 Cl 0.500 0.000 0.000 1
Tl1 Tl 0.500 0.500 0.500 1
```

## Properties
Electronic total energy ... -2.723 eV per atom
Crystal system ... tetragonal
Energy above the lowest structure with this stoichiometry ... 0.184 eV/atom
SG ... P4/mmm
D(E_F) ... 3.45 states/eV/f.u.



Entry 5:
First-principles (PBE) data for an optimized crystal structure of NaTlS2Cl, as listed in Alexandria.

Structure (CIF):
```
data_NaTlS2Cl
_chemical_formula_sum 'Na1 Tl1 S2 Cl1'
_space_group_name_H-M_alt 'P 1'
_space_group_IT_number 1
_space_group_name_Hall 'P 1'
_cell_length_a 5.104
_cell_length_b 5.104
_cell_length_c 5.627
_cell_angle_alpha 90.00
_cell_angle_beta 90.00
_cell_angle_gamma 90.00
loop_
_atom_site_label
_atom_site_type_symbol
_atom_site_fract_x
_atom_site_fract_y
_atom_site_fract_z
_atom_site_occupancy
Na1 Na 0.500 0.500 0.500 1
Cl1 Cl 0.000 0.000 0.500 1
Tl1 Tl 0.000 0.000 0.000 1
S1 S 0.000 0.500 0.000 1
S2 S 0.500 0.000 0.000 1
```

## Properties
Electronic total energy ... -2.949 eV per atom
Crystal system ... tetragonal
Energy above the lowest structure with this stoichiometry ... 0.000 eV/atom
SG ... P4/mmm
D(E_F) ... 4.82 states/eV/f.u.



Entry 6:
First-principles (PBE) data for an optimized crystal structure of NaVSCl2, as listed in Alexandria.

Structure (CIF):
```
data_NaVSCl2
_chemical_formula_sum 'Na1 V1 S1 Cl2'
_space_group_name_H-M_alt 'P 1'
_space_group_IT_number 1
_space_group_name_Hall 'P 1'
_cell_length_a 4.826
_cell_length_b 4.826
_cell_length_c 5.277
_cell_angle_alpha 90.00
_cell_angle_beta 90.00
_cell_angle_gamma 90.00
loop_
_atom_site_label
_atom_site_type_symbol
_atom_site_fract_x
_atom_site_fract_y
_atom_site_fract_z
_atom_site_occupancy
Na1 Na 0.000 0.000 0.000 1
V1 V 0.500 0.500 0.500 1
Cl1 Cl 0.000 0.500 0.000 1
Cl2 Cl 0.500 0.000 0.000 1
S1 S 0.000 0.000 0.500 1
```

## Properties
Electronic total energy ... -3.506 eV per atom
Crystal system ... tetragonal
Energy above the lowest structure with this stoichiometry ... 1.210 eV/atom
SG ... P4/mmm
D(E_F) ... 5.24 states/eV/f.u.



Entry 7:
First-principles (PBE) data for an optimized crystal structure of NaVSCl2, as listed in Alexandria.

Structure (CIF):
```
data_NaVSCl2
_chemical_formula_sum 'Na1 V1 S1 Cl2'
_space_group_name_H-M_alt 'P 1'
_space_group_IT_number 1
_space_group_name_Hall 'P 1'
_cell_length_a 4.980
_cell_length_b 4.980
_cell_length_c 4.552
_cell_angle_alpha 90.00
_cell_angle_beta 90.00
_cell_angle_gamma 90.00
loop_
_atom_site_label
_atom_site_type_symbol
_atom_site_fract_x
_atom_site_fract_y
_atom_site_fract_z
_atom_site_occupancy
Cl1 Cl 0.000 0.500 0.000 1
Cl2 Cl 0.500 0.000 0.000 1
V1 V 0.000 0.000 0.000 1
Na1 Na 0.500 0.500 0.500 1
S1 S 0.000 0.000 0.500 1
```

## Properties
Electronic total energy ... -4.716 eV per atom
Crystal system ... tetragonal
Energy above the lowest structure with this stoichiometry ... 0.000 eV/atom
SG ... P4/mmm
D(E_F) ... 1.32 states/eV/f.u.



Entry 8:
First-principles (PBE) data for an optimized crystal structure of NaYSCl2, as listed in Alexandria.

Structure (CIF):
```
data_NaYSCl2
_chemical_formula_sum 'Na1 Y1 S1 Cl2'
_space_group_name_H-M_alt 'P 1'
_space_group_IT_number 1
_space_group_name_Hall 'P 1'
_cell_length_a 4.683
_cell_length_b 4.683
_cell_length_c 5.285
_cell_angle_alpha 90.00
_cell_angle_beta 90.00
_cell_angle_gamma 90.00
loop_
_atom_site_label
_atom_site_type_symbol
_atom_site_fract_x
_atom_site_fract_y
_atom_site_fract_z
_atom_site_occupancy
Cl1 Cl 0.000 0.500 0.000 1
Cl2 Cl 0.500 0.000 0.000 1
S1 S 0.000 0.000 0.500 1
Y1 Y 0.500 0.500 0.500 1
Na1 Na 0.000 0.000 0.000 1
```

## Properties
Electronic total energy ... -4.195 eV per atom
Crystal system ... tetragonal
Energy above the lowest structure with this stoichiometry ... 0.693 eV/atom
SG ... P4/mmm



Entry 9:
First-principles (PBE) data for an optimized crystal structure of NaYSCl2, as listed in Alexandria.

Structure (CIF):
```
data_NaYSCl2
_chemical_formula_sum 'Na1 Y1 S1 Cl2'
_space_group_name_H-M_alt 'P 1'
_space_group_IT_number 1
_space_group_name_Hall 'P 1'
_cell_length_a 5.331
_cell_length_b 5.331
_cell_length_c 5.251
_cell_angle_alpha 90.00
_cell_angle_beta 90.00
_cell_angle_gamma 90.00
loop_
_atom_site_label
_atom_site_type_symbol
_atom_site_fract_x
_atom_site_fract_y
_atom_site_fract_z
_atom_site_occupancy
Cl1 Cl 0.500 0.000 0.000 1
Cl2 Cl 0.000 0.500 0.000 1
Na1 Na 0.500 0.500 0.500 1
Y1 Y 0.000 0.000 0.000 1
S1 S 0.000 0.000 0.500 1
```

## Properties
Electronic total energy ... -4.888 eV per atom
Crystal system ... tetragonal
Energy above the lowest structure with this stoichiometry ... 0.000 eV/atom
SG ... P4/mmm
D(E_F) ... 0.00 states/eV/f.u.



Entry 10:
First-principles (PBE) data for an optimized crystal structure of NaYS2Cl, as listed in Alexandria.

Structure (CIF):
```
data_NaYS2Cl
_chemical_formula_sum 'Na1 Y1 S2 Cl1'
_space_group_name_H-M_alt 'P 1'
_space_group_IT_number 1
_space_group_name_Hall 'P 1'
_cell_length_a 4.899
_cell_length_b 4.899
_cell_length_c 4.720
_cell_angle_alpha 90.00
_cell_angle_beta 90.00
_cell_angle_gamma 90.00
loop_
_atom_site_label
_atom_site_type_symbol
_atom_site_fract_x
_atom_site_fract_y
_atom_site_fract_z
_atom_site_occupancy
Na1 Na 0.000 0.000 0.000 1
Y1 Y 0.500 0.500 0.500 1
S1 S 0.500 0.000 0.000 1
S2 S 0.000 0.500 0.000 1
Cl1 Cl 0.000 0.000 0.500 1
```

## Properties
Electronic total energy ... -4.210 eV per atom
Crystal system ... tetragonal
Energy above the lowest structure with this stoichiometry ... 0.687 eV/atom
SG ... P4/mmm
D(E_F) ... 2.25 states/eV/f.u.



| no. | calculated volume (Å³/cell) |
| --- | --- |
| 1 | 118 |
| 2 | 152 |
| 3 | 147 |
| 4 | 151 |
| 5 | 147 |
| 6 | 123 |
| 7 | 113 |
| 8 | 116 |
| 9 | 149 |
| 10 | 113 |